First-principles (PBE-GGA) data for Ir2PtRh2 after structural relaxation, as listed in the Alexandria database.

Results
Excess energy over the best structure of this formula in the dataset, eV per atom: 0.336
Size of the total moment, μB per formula unit: 0.00

Cell: 7.5066 7.5066 2.7386 Å, 90.00 90.00 90.00°
Space group P4/mbm (No. 127)
Symmetry-distinct sites (fractional):
Ir: 0.1733 0.3267 0.0000 (multiplicity 4)
Pt: 0.0000 0.0000 0.5000 (multiplicity 2)
Rh: 0.1230 0.6230 0.5000 (multiplicity 4)